This record from Alexandria describes Rb2PuF7 after structural relaxation. The functional is PBE.

It has space group C2/c (No. 15), with a = 14.608 Å, b = 7.294 Å, c = 9.604 Å, α = 90.00°, β = 129.27° and γ = 90.00°. The inequivalent atoms are Rb at (0.185, 0.066, 0.277), Pu at (0.000, 0.395, 0.750), F at (0.000, 0.102, 0.750), F at (0.085, 0.361, 0.024), F at (0.112, 0.357, 0.373) and F at (0.159, 0.332, 0.793).

As for the uncorrected formation energy: -3.05 eV per atom. The value obtained for the calculated density is 4.59 g/cm³. The value obtained for the distance to the lowest polymorph of the same formula is 0.000 eV per atom. The value obtained for the total moment is 3.00 μB per formula unit.